1.
# MnHgAu (PBEsol, relaxed)
# * final energy: -4.501 eV/atom
# * DFT formation energy: 0.2498 eV per atom
data_MnHgAu
_cell_length_a 4.5886
_cell_length_b 4.5886
_cell_length_c 2.8500
_cell_angle_alpha 90.00
_cell_angle_beta 90.00
_cell_angle_gamma 120.00
_space_group_name_H-M_alt 'P 3 m 1'
_space_group_IT_number 156
loop_
_space_group_symop_operation_xyz
'x,y,z'
'-y,x-y,z'
'-x+y,-x,z'
'-y,-x,z'
'-x+y,y,z'
'x,x-y,z'
loop_
_atom_site_label
_atom_site_type_symbol
_atom_site_fract_x
_atom_site_fract_y
_atom_site_fract_z
_atom_site_occupancy
Mn1 Mn 0.0000 0.0000 0.0000 1
Hg1 Hg 0.6667 0.3333 0.6024 1
Au1 Au 0.3333 0.6667 0.3637 1

=====

2.
# Na2MnHgAu (PBEsol, relaxed)
# * final energy: -2.598 eV/atom
# * DFT formation energy: 0.8123 eV per atom
data_Na2MnHgAu
_cell_length_a 5.419
_cell_length_b 5.419
_cell_length_c 4.952
_cell_angle_alpha 90.00
_cell_angle_beta 90.00
_cell_angle_gamma 90.00
_space_group_name_H-M_alt 'P 4/m m m'
_space_group_IT_number 123
_space_group_name_Hall '-P 4 2'
loop_
_atom_site_label
_atom_site_type_symbol
_atom_site_fract_x
_atom_site_fract_y
_atom_site_fract_z
_atom_site_occupancy
Na1 Na 0.000 0.500 0.000 1
Mn1 Mn 0.000 0.000 0.000 1
Hg1 Hg 0.000 0.000 0.500 1
Au1 Au 0.500 0.500 0.500 1

=====

3.
# HgMo2Au (PBEsol, relaxed)
# * final energy: -6.758 eV/atom
# * DFT formation energy: 0.2489 eV per atom
data_HgMo2Au
_cell_length_a 3.244
_cell_length_b 4.511
_cell_length_c 9.274
_cell_angle_alpha 90.00
_cell_angle_beta 90.00
_cell_angle_gamma 90.00
_space_group_name_H-M_alt 'C m m 2'
_space_group_IT_number 35
loop_
_space_group_symop_operation_xyz
'x,y,z'
'-x,-y,z'
'-x,y,z'
'x,-y,z'
'x+1/2,y+1/2,z'
'-x+1/2,-y+1/2,z'
'-x+1/2,y+1/2,z'
'x+1/2,-y+1/2,z'
loop_
_atom_site_label
_atom_site_type_symbol
_atom_site_fract_x
_atom_site_fract_y
_atom_site_fract_z
_atom_site_occupancy
Hg1 Hg 0.000 0.000 0.000 1
Mo1 Mo 0.000 0.000 0.517 1
Mo2 Mo 0.000 0.500 0.737 1
Au1 Au 0.000 0.500 0.270 1

=====

4.
# HgMoAu4 (PBEsol, relaxed)
# * final energy: -4.168 eV/atom
# * DFT formation energy: 0.5040 eV per atom
data_HgMoAu4
_cell_length_a 7.623
_cell_length_b 7.623
_cell_length_c 7.623
_cell_angle_alpha 90.00
_cell_angle_beta 90.00
_cell_angle_gamma 90.00
_space_group_name_H-M_alt 'F -4 3 m'
_space_group_IT_number 216
_space_group_name_Hall 'F -4 2 3'
loop_
_atom_site_label
_atom_site_type_symbol
_atom_site_fract_x
_atom_site_fract_y
_atom_site_fract_z
_atom_site_occupancy
Hg1 Hg 0.000 0.000 0.000 1
Mo1 Mo 0.250 0.250 0.250 1
Au1 Au 0.125 0.125 0.625 1

=====

5.
# HgMo2Au (PBEsol, relaxed)
# * final energy: -6.607 eV/atom
# * DFT formation energy: 0.3994 eV per atom
data_HgMo2Au
_cell_length_a 4.036
_cell_length_b 4.036
_cell_length_c 8.084
_cell_angle_alpha 90.00
_cell_angle_beta 90.00
_cell_angle_gamma 90.00
_space_group_name_H-M_alt 'I -4 m 2'
_space_group_IT_number 119
_space_group_name_Hall 'I -4 -2'
loop_
_atom_site_label
_atom_site_type_symbol
_atom_site_fract_x
_atom_site_fract_y
_atom_site_fract_z
_atom_site_occupancy
Hg1 Hg 0.000 0.000 0.000 1
Mo1 Mo 0.000 0.000 0.500 1
Mo2 Mo 0.000 0.500 0.250 1
Au1 Au 0.000 0.500 0.750 1

=====

6.
# HgAuN2O (PBEsol, relaxed)
# * formation energy (no corrections): 2.139 eV/atom
# * final energy: -3.220 eV/atom
data_HgAuN2O
_cell_length_a 4.206
_cell_length_b 4.206
_cell_length_c 4.166
_cell_angle_alpha 90.00
_cell_angle_beta 90.00
_cell_angle_gamma 90.00
_space_group_name_H-M_alt 'P 4/m m m'
_space_group_IT_number 123
_space_group_name_Hall '-P 4 2'
loop_
_atom_site_label
_atom_site_type_symbol
_atom_site_fract_x
_atom_site_fract_y
_atom_site_fract_z
_atom_site_occupancy
Hg1 Hg 0.000 0.000 0.000 1
Au1 Au 0.500 0.500 0.500 1
N1 N 0.000 0.500 0.000 1
O1 O 0.000 0.000 0.500 1

=====

7.
# HgAuS2N (PBEsol, relaxed)
# * formation energy (no corrections): 1.013 eV/atom
# * final energy: -3.344 eV/atom
data_HgAuS2N
_cell_length_a 5.018
_cell_length_b 5.018
_cell_length_c 3.700
_cell_angle_alpha 90.00
_cell_angle_beta 90.00
_cell_angle_gamma 90.00
_space_group_name_H-M_alt 'P 4/m m m'
_space_group_IT_number 123
_space_group_name_Hall '-P 4 2'
loop_
_atom_site_label
_atom_site_type_symbol
_atom_site_fract_x
_atom_site_fract_y
_atom_site_fract_z
_atom_site_occupancy
Hg1 Hg 0.000 0.000 0.000 1
Au1 Au 0.500 0.500 0.500 1
S1 S 0.000 0.500 0.500 1
N1 N 0.500 0.500 0.000 1

=====

8.
# HgTeAuN2 (PBEsol, relaxed)
# * formation energy (no corrections): 1.819 eV/atom
# * final energy: -3.195 eV/atom
data_HgTeAuN2
_cell_length_a 4.104
_cell_length_b 4.104
_cell_length_c 6.311
_cell_angle_alpha 90.00
_cell_angle_beta 90.00
_cell_angle_gamma 90.00
_space_group_name_H-M_alt 'P 4/m m m'
_space_group_IT_number 123
_space_group_name_Hall '-P 4 2'
loop_
_atom_site_label
_atom_site_type_symbol
_atom_site_fract_x
_atom_site_fract_y
_atom_site_fract_z
_atom_site_occupancy
Hg1 Hg 0.000 0.000 0.000 1
Te1 Te 0.000 0.000 0.500 1
Au1 Au 0.500 0.500 0.500 1
N1 N 0.000 0.500 0.000 1